A relaxed structure of La3HgO, computed with PBE.

The calculation puts the offset from the most stable computed form at 387 meV per atom. As for the density of states at the Fermi level: 0.9701 states/eV/atom. As for the formation energy without anion corrections: -4.9 eV per formula unit.

The structure belongs to space group P6_3/mmc (No. 194); the cell edges are 5.6390, 5.6390 and 9.5115 Å and the angles 90.00°, 90.00° and 120.00°. The inequivalent atoms are La at (0.0000, 0.0000, 0.2500), La at (0.3333, 0.6667, 0.0843), Hg at (0.3333, 0.6667, 0.7500) and O at (0.0000, 0.0000, 0.0000).